{
  "formula": "BeSnH2Os",
  "functional": "PBE",
  "state": "relaxed",
  "e_tot_ev_per_atom": -4.25,
  "space_group": "P4/mmm (123)",
  "cell": [[-0.1492, -3.1920, -1.3400], [4.1047, 1.2719, -3.4868], [2.3192, -1.0880, 2.3333]],
  "species": ["Be", "Os", "Sn", "H", "H"],
  "frac_coords": [[0.5000, 0.5000, 0.5000], [0.0000, 0.5000, 0.0000], [0.0000, 0.0000, 0.0000], [0.0000, 0.0000, 0.5000], [0.5000, 0.0000, 0.0000]]
}

---

{
  "formula": "Sr2Li2Tc",
  "functional": "PBE",
  "state": "relaxed",
  "de_polymorph_ev_per_atom": 0.000,
  "space_group": "I4/mmm (139)",
  "cell": [[-2.0215, 3.1001, -0.4015], [-2.3649, -1.8293, -2.2178], [-7.8498, -1.9912, 6.8888]],
  "species": ["Sr", "Sr", "Tc", "Li", "Li"],
  "frac_coords": [[0.4058, 0.4058, 0.1884], [0.5942, 0.5942, 0.8116], [0.0000, 0.0000, 0.0000], [0.7500, 0.2500, 0.5000], [0.2500, 0.7500, 0.5000]]
}

---

{
  "formula": "Sr2LiCl",
  "functional": "PBE",
  "state": "relaxed",
  "de_polymorph_ev_per_atom": 0.062,
  "formation_energy_uncorrected_ev_per_atom": -0.73,
  "space_group": "Cmm2 (35)",
  "cell": [[-1.3146, 3.7616, -0.8494], [-0.9180, -1.7180, 3.5784], [8.7582, 4.0020, 4.1682]],
  "species": ["Cl", "Li", "Sr", "Sr"],
  "frac_coords": [[0.0000, 0.0000, 0.5310], [0.5000, 0.5000, 0.6787], [0.0000, 0.0000, 0.9789], [0.5000, 0.5000, 0.3115]]
}

---

Values for calculated density, g cm⁻³, ordered as above
8.00, 3.34, 2.40